A relaxed structure of Cs2BaNaBr, computed with PBE.

Computed properties:
E ... -9.38 eV/cell
E_form (uncorrected) ... -0.5515 eV per atom
Total magnetization ... 0.000 μB per formula unit

CIF file:
```
data_Cs2BaNaBr
_chemical_formula_sum 'Cs2 Ba1 Na1 Br1'
_space_group_name_H-M_alt 'P 4/m m m'
_space_group_IT_number 123
_space_group_name_Hall '-P 4 2'
_cell_length_a 7.3029
_cell_length_b 7.3029
_cell_length_c 6.5098
_cell_angle_alpha 90.00
_cell_angle_beta 90.00
_cell_angle_gamma 90.00
loop_
_atom_site_label
_atom_site_fract_x
_atom_site_fract_y
_atom_site_fract_z
Cs1 0.0000 0.5000 0.0000
Ba1 0.0000 0.0000 0.5000
Na1 0.5000 0.5000 0.5000
Br1 0.0000 0.0000 0.0000
```

=====

A relaxed structure of InAsW2, computed with PBE.

Computed properties:
E ... -93.73 eV/cell
Total magnetization ... 0.000 μB per formula unit

CIF file:
```
data_InAsW2
_chemical_formula_sum 'In3 As3 W6'
_space_group_name_H-M_alt 'R -3 m'
_space_group_IT_number 166
_space_group_name_Hall '-R 3 2"'
_cell_length_a 3.0133
_cell_length_b 3.0133
_cell_length_c 26.3551
_cell_angle_alpha 90.00
_cell_angle_beta 90.00
_cell_angle_gamma 120.00
loop_
_atom_site_label
_atom_site_fract_x
_atom_site_fract_y
_atom_site_fract_z
In1 0.0000 0.0000 0.0000
As1 0.0000 0.0000 0.5000
W1 0.0000 0.0000 0.2414
```

=====

What is the formula in the first record? Cs2BaNaBr